# Ac3Sn7Au2

A geometry-optimized Ac3Sn7Au2 structure (GGA-PBE, the Alexandria database).

Results
SG: No. 10
E_tot, eV per atom: -4.456
Crystal system: monoclinic
Energy relative to the elements, kcal/mol of atoms: -12.6

a = 4.736 Å, b = 5.003 Å, c = 14.890 Å
α = 98.90°, β = 90.00°, γ = 90.00°
Positions (direct):
Au1 0.500 0.581 0.269
Au2 0.500 0.419 0.731
Ac1 0.000 0.810 0.635
Ac2 0.000 0.190 0.365
Ac3 0.500 0.500 0.000
Sn1 0.000 0.361 0.829
Sn2 0.500 0.064 0.170
Sn3 0.000 0.639 0.171
Sn4 0.500 0.936 0.830
Sn5 0.000 0.000 0.000
Sn6 0.500 0.728 0.451
Sn7 0.500 0.272 0.549

=====

# Ac6Sb2TePb3

A geometry-optimized Ac6Sb2TePb3 structure (GGA-PBE, the Alexandria database).

Results
Formation energy without anion corrections, eV per atom: -0.8841
SG: No. 12
E_tot, eV per atom: -4.814
Crystal system: monoclinic

a = 4.729 Å, b = 9.859 Å, c = 10.925 Å
α = 105.85°, β = 102.50°, γ = 90.00°
Positions (direct):
Te1 0.500 0.000 0.000
Pb1 0.835 0.166 0.669
Pb2 0.500 0.500 0.000
Pb3 0.165 0.834 0.331
Sb1 0.166 0.332 0.332
Sb2 0.834 0.668 0.668
Ac1 0.667 0.089 0.334
Ac2 0.668 0.578 0.337
Ac3 0.998 0.747 0.996
Ac4 0.333 0.911 0.666
Ac5 0.332 0.422 0.663
Ac6 0.002 0.253 0.004

=====

# MgCo2Ag

A geometry-optimized MgCo2Ag structure (GGA-PBE, the Alexandria database).

Results
SG: No. 47
E_tot, eV per atom: -4.363
Crystal system: orthorhombic
Energy relative to the elements, kcal/mol of atoms: 6.9

a = 2.711 Å, b = 4.055 Å, c = 5.236 Å
α = 90.00°, β = 90.00°, γ = 90.00°
Positions (direct):
Co1 0.000 0.000 0.479
Co2 0.000 0.000 0.021
Ag1 0.500 0.500 0.750
Mg1 0.500 0.500 0.250